! Sr2CaMnO6 PBE with a Hubbard U relaxed; values from VASP
! **Electronic total energy**: -6.313 eV/atom
! **Density**: 4.349 g/cm3
&SYSTEM
  ibrav = 0, nat = 10, ntyp = 4
/
ATOMIC_SPECIES
Sr 87.62 Sr.upf
O 16.00 O.upf
Ca 40.08 Ca.upf
Mn 54.94 Mn.upf
CELL_PARAMETERS angstrom
0.000 4.120 4.120
4.120 0.000 4.120
4.120 4.120 0.000
ATOMIC_POSITIONS crystal
Sr 0.250 0.250 0.250
Sr 0.750 0.750 0.750
O 0.271 0.729 0.729
O 0.729 0.271 0.271
O 0.729 0.271 0.729
O 0.729 0.729 0.271
O 0.271 0.729 0.271
O 0.271 0.271 0.729
Ca 0.000 0.000 0.000
Mn 0.500 0.500 0.500